The following is a PBE calculation of a relaxed structure of La2PrIn, from Alexandria via LeMat-Bulk.

```
La2PrIn
1.0
-1.7023 3.2647 -0.8641
-3.7629 0.2921 0.2406
-0.8771 4.5177 10.5205
La Pr In
2 1 1
direct
0.0768 0.0768 0.7697
0.2566 0.2566 0.2301
0.4999 0.4999 0.5002
0.6667 0.6667 0.0000
```

Computed properties:
- Polymorph energy (0 for the lowest one): 3.91 kcal/mol of atoms
- E: -0.328 Ry/atom

---

The following is a PBE calculation of a relaxed structure of PmY2Tm2, from Alexandria via LeMat-Bulk.

```
PmY2Tm2
1.0
-3.1107 0.8394 -1.3952
-1.1023 -5.5301 -0.8693
-2.8871 2.2920 7.8161
Pm Y Tm
1 2 2
direct
0.2000 0.0173 0.0350
0.2000 0.7815 0.5627
0.7000 0.2101 0.4201
0.2000 0.4006 0.8013
0.7000 0.5904 0.1809
```

Computed properties:
- Polymorph energy (0 for the lowest one): 0.80 kcal/mol of atoms
- E: -0.383 Ry/atom

---

The following is a PBE calculation of a relaxed structure of LiAc2SnPt6, from Alexandria via LeMat-Bulk.

```
LiAc2SnPt6
1.0
8.7407 -0.0193 0.1181
0.0123 5.5907 -0.0115
4.3332 2.7954 4.5743
Li Ac Sn Pt
1 2 1 6
direct
0.0000 0.0000 0.0000
0.1966 0.7382 0.5237
0.8034 0.2618 0.4763
0.5000 0.5000 0.0000
0.2506 0.7619 0.9962
0.7497 0.7583 0.0033
0.4047 0.2456 0.5095
0.7494 0.2381 0.0038
0.2503 0.2417 0.9967
0.5953 0.7544 0.4905
```

Computed properties:
- E: -0.428 Ry/atom

---

The following is a PBE calculation of a relaxed structure of Cu2SbMo, from Alexandria via LeMat-Bulk.

```
Cu2SbMo
1.0
3.4465 0.0000 0.0000
0.0000 3.4465 0.0000
0.0000 0.0000 5.4079
Cu Mo Sb
2 1 1
direct
0.0000 0.0000 0.0215
0.0000 0.0000 0.4785
0.5000 0.5000 0.2500
0.5000 0.5000 0.7500
```

Computed properties:
- ΔE_f (raw): 0.3753 eV per atom
- E: -0.398 Ry/atom